Compound: CsPbO
Source: the Alexandria database
Functional: PBE
Structure: relaxed

CIF file:
```
data_CsPbO
_cell_length_a 6.761
_cell_length_b 6.902
_cell_length_c 12.924
_cell_angle_alpha 90.00
_cell_angle_beta 90.00
_cell_angle_gamma 90.00
_symmetry_space_group_name_H-M 'I m m m'
_symmetry_Int_Tables_number 71
_symmetry_space_group_name_Hall '-I 2 2'
loop_
_atom_site_label
_atom_site_type_symbol
_atom_site_fract_x
_atom_site_fract_y
_atom_site_fract_z
_atom_site_occupancy
Cs1 Cs 0.000 0.000 0.174 1
Pb1 Pb 0.246 0.000 0.500 1
O1 O 0.000 0.000 0.385 1
```

The value obtained for the uncorrected formation energy is -0.737 eV per atom. For the density of states at the Fermi level, the calculation gives 5.61 states/eV/cell.

---

Compound: In2GaP
Source: the Alexandria database
Functional: PBE
Structure: relaxed

CIF file:
```
data_In2GaP
_cell_length_a 6.450
_cell_length_b 6.450
_cell_length_c 11.064
_cell_angle_alpha 90.00
_cell_angle_beta 90.00
_cell_angle_gamma 90.00
_symmetry_space_group_name_H-M 'I -4 2 d'
_symmetry_Int_Tables_number 122
_symmetry_space_group_name_Hall 'I -4 2bw'
loop_
_atom_site_label
_atom_site_type_symbol
_atom_site_fract_x
_atom_site_fract_y
_atom_site_fract_z
_atom_site_occupancy
In1 In 0.230 0.250 0.125 1
Ga1 Ga 0.000 0.000 0.500 1
P1 P 0.000 0.000 0.000 1
```

The calculation puts the energy relative to the lowest polymorph listed for this composition at 0 meV/atom. For the density of states at the Fermi level, the calculation gives 1.72 states/eV/cell. As for the formation energy: 0.116 eV per atom.

---

Compound: ErGa2S4
Source: the Alexandria database
Functional: PBE
Structure: relaxed

CIF file:
```
data_ErGa2S4
_cell_length_a 5.377
_cell_length_b 5.377
_cell_length_c 6.160
_cell_angle_alpha 90.00
_cell_angle_beta 90.00
_cell_angle_gamma 90.00
_symmetry_space_group_name_H-M 'P -4 2 m'
_symmetry_Int_Tables_number 111
loop_
_symmetry_equiv_pos_as_xyz
'x,y,z'
'y,-x,-z'
'-x,-y,z'
'-y,x,-z'
'x,-y,-z'
'y,x,z'
'-x,y,-z'
'-y,-x,z'
loop_
_atom_site_label
_atom_site_type_symbol
_atom_site_fract_x
_atom_site_fract_y
_atom_site_fract_z
_atom_site_occupancy
Er1 Er 0.000 0.000 0.000 1
Ga1 Ga 0.000 0.500 0.500 1
S1 S 0.264 0.264 0.270 1
```

The value obtained for the uncorrected formation energy is -0.906 eV per atom. For the density of states at the Fermi level, the calculation gives 1.86 states/eV/cell.

---

Compound: Pr2Ho3In
Source: the Alexandria database
Functional: PBE
Structure: relaxed

CIF file:
```
data_Pr2Ho3In
_cell_length_a 4.910
_cell_length_b 15.239
_cell_length_c 4.953
_cell_angle_alpha 90.00
_cell_angle_beta 90.00
_cell_angle_gamma 90.00
_symmetry_space_group_name_H-M 'C m m m'
_symmetry_Int_Tables_number 65
_symmetry_space_group_name_Hall '-C 2 2'
loop_
_atom_site_label
_atom_site_type_symbol
_atom_site_fract_x
_atom_site_fract_y
_atom_site_fract_z
_atom_site_occupancy
Pr1 Pr 0.000 0.162 0.000 1
Ho1 Ho 0.000 0.000 0.500 1
Ho2 Ho 0.000 0.337 0.500 1
In1 In 0.000 0.500 0.000 1
```

The calculation puts the energy relative to the lowest polymorph listed for this composition at 0 meV/atom. For the density of states at the Fermi level, the calculation gives 14.27 states/eV/cell. As for the formation energy: -0.142 eV per atom.

---

Compound: Sm6HgIr2Br3
Source: the Alexandria database
Functional: PBE
Structure: relaxed

CIF file:
```
data_Sm6HgIr2Br3
_cell_length_a 19.849
_cell_length_b 4.119
_cell_length_c 9.145
_cell_angle_alpha 90.00
_cell_angle_beta 108.66
_cell_angle_gamma 90.00
_symmetry_space_group_name_H-M 'C 1 2/m 1'
_symmetry_Int_Tables_number 12
loop_
_symmetry_equiv_pos_as_xyz
'x,y,z'
'-x,-y,-z'
'-x,y,-z'
'x,-y,z'
'x+1/2,y+1/2,z'
'-x+1/2,-y+1/2,-z'
'-x+1/2,y+1/2,-z'
'x+1/2,-y+1/2,z'
loop_
_atom_site_label
_atom_site_type_symbol
_atom_site_fract_x
_atom_site_fract_y
_atom_site_fract_z
_atom_site_occupancy
Sm1 Sm 0.023 0.000 0.258 1
Sm2 Sm 0.162 0.500 0.126 1
Sm3 Sm 0.184 0.500 0.562 1
Hg1 Hg 0.000 0.500 0.000 1
Ir1 Ir 0.168 0.000 0.339 1
Br1 Br 0.000 0.500 0.500 1
Br2 Br 0.167 0.000 0.841 1
```

The value obtained for the uncorrected formation energy is -0.989 eV per atom. For the density of states at the Fermi level, the calculation gives 15.00 states/eV/cell.

---

Compound: TiNb2HAu
Source: the Alexandria database
Functional: PBE
Structure: relaxed

CIF file:
```
data_TiNb2HAu
_cell_length_a 3.999
_cell_length_b 3.999
_cell_length_c 4.572
_cell_angle_alpha 90.00
_cell_angle_beta 90.00
_cell_angle_gamma 90.00
_symmetry_space_group_name_H-M 'P 4/m m m'
_symmetry_Int_Tables_number 123
_symmetry_space_group_name_Hall '-P 4 2'
loop_
_atom_site_label
_atom_site_type_symbol
_atom_site_fract_x
_atom_site_fract_y
_atom_site_fract_z
_atom_site_occupancy
Ti1 Ti 0.000 0.000 0.000 1
Nb1 Nb 0.000 0.500 0.500 1
H1 H 0.500 0.500 0.500 1
Au1 Au 0.500 0.500 0.000 1
```

The calculation puts the energy relative to the lowest polymorph listed for this composition at 107 meV/atom. For the density of states at the Fermi level, the calculation gives 5.69 states/eV/cell.

---

Compound: SrSc
Source: the Alexandria database
Functional: PBE
Structure: relaxed

CIF file:
```
data_SrSc
_cell_length_a 4.199
_cell_length_b 5.757
_cell_length_c 5.844
_cell_angle_alpha 90.00
_cell_angle_beta 90.00
_cell_angle_gamma 90.00
_symmetry_space_group_name_H-M 'C m m m'
_symmetry_Int_Tables_number 65
_symmetry_space_group_name_Hall '-C 2 2'
loop_
_atom_site_label
_atom_site_type_symbol
_atom_site_fract_x
_atom_site_fract_y
_atom_site_fract_z
_atom_site_occupancy
Sr1 Sr 0.000 0.000 0.000 1
Sc1 Sc 0.000 0.500 0.500 1
```

The calculation puts the energy relative to the lowest polymorph listed for this composition at 224 meV/atom. For the density of states at the Fermi level, the calculation gives 7.54 states/eV/cell. As for the formation energy: 0.418 eV per atom.

---

Compound: HfHOsRu2
Source: the Alexandria database
Functional: PBE
Structure: relaxed

CIF file:
```
data_HfHOsRu2
_cell_length_a 4.859
_cell_length_b 4.859
_cell_length_c 3.183
_cell_angle_alpha 90.00
_cell_angle_beta 90.00
_cell_angle_gamma 90.00
_symmetry_space_group_name_H-M 'P 4/m m m'
_symmetry_Int_Tables_number 123
_symmetry_space_group_name_Hall '-P 4 2'
loop_
_atom_site_label
_atom_site_type_symbol
_atom_site_fract_x
_atom_site_fract_y
_atom_site_fract_z
_atom_site_occupancy
Hf1 Hf 0.000 0.000 0.000 1
H1 H 0.000 0.000 0.500 1
Os1 Os 0.500 0.500 0.500 1
Ru1 Ru 0.000 0.500 0.000 1
```

The calculation puts the energy relative to the lowest polymorph listed for this composition at 1289 meV/atom. For the density of states at the Fermi level, the calculation gives 4.82 states/eV/cell.

---

Number 1: electronic total energy -3.91 eV/atom. Number 2: electronic total energy -3.36 eV/atom. Number 3: electronic total energy -4.78 eV/atom. Number 4: electronic total energy -4.48 eV/atom. Number 5: electronic total energy -5.27 eV/atom. Number 6: electronic total energy -7.03 eV/atom. Number 7: electronic total energy -3.59 eV/atom. Number 8: electronic total energy -7.51 eV/atom.